Below is a relaxed structure of Ce2Al4Zn3Ga, with properties calculated at the GGA-PBE level.

The value obtained for the formation energy is -0.372 eV per atom.

Lattice parameters (Å, degrees): 4.253 4.253 10.745 90.00 90.00 90.00
Atoms (fractional coordinates):
Ce 0.000 0.500 0.248
Ce 0.500 0.000 0.752
Al 0.000 0.000 0.500
Al 0.000 0.500 0.864
Al 0.500 0.000 0.136
Al 0.500 0.500 0.500
Zn 0.000 0.000 0.000
Zn 0.000 0.500 0.636
Zn 0.500 0.000 0.364
Ga 0.500 0.500 0.000